The following is a DFT calculation (PBE+U) of a relaxed structure of VSnOF2.

Calculated values
The calculation puts the excess energy over the best structure of this formula in the dataset at 0.0000 eV per atom. The calculation puts the total DFT energy (no corrections) at -29.1 eV for the cell shown. The volume comes out at 70.0 Å³/cell.

Lattice parameters (Å, degrees): 4.125 4.125 4.115 90.00 90.00 90.00
Site moments in Bohr magnetons follow the coordinates.
Positions (direct):
V  0.000  0.000  0.000  2.50
O  0.000  0.000  0.500  -0.05
Sn  0.500  0.500  0.500  0.07
F  0.500  0.000  0.000  0.02
F  0.000  0.500  0.000  0.02